Entry 1:
# PBE-GGA USiRh5, optimized geometry
data_USiRh5
_cell_length_a 8.841
_cell_length_b 6.218
_cell_length_c 9.426
_cell_angle_alpha 90.00
_cell_angle_beta 113.08
_cell_angle_gamma 90.00
_space_group_name_H-M_alt 'C 1 2/c 1'
_space_group_IT_number 15
loop_
_space_group_symop_operation_xyz
'x,y,z'
'-x,-y,-z'
'-x,y,-z+1/2'
'x,-y,z+1/2'
'x+1/2,y+1/2,z'
'-x+1/2,-y+1/2,-z'
'-x+1/2,y+1/2,-z+1/2'
'x+1/2,-y+1/2,z+1/2'
loop_
_atom_site_label
_atom_site_fract_x
_atom_site_fract_y
_atom_site_fract_z
U1 0.000 0.069 0.250
Si1 0.250 0.250 0.000
Rh1 0.000 0.322 0.750
Rh2 0.142 0.405 0.499
Rh3 0.198 0.328 0.241
# crystal system	monoclinic
# formation energy from raw total energies	-0.35	eV/atom
# DOS(E_F)	24.868	states/eV per cell
# electronic total energy	-7.989	eV per atom

Entry 2:
# PBE-GGA ZnNi2Pt6, optimized geometry
data_ZnNi2Pt6
_cell_length_a 9.687
_cell_length_b 4.685
_cell_length_c 7.241
_cell_angle_alpha 90.00
_cell_angle_beta 125.79
_cell_angle_gamma 90.00
_space_group_name_H-M_alt 'C 1 2/m 1'
_space_group_IT_number 12
loop_
_space_group_symop_operation_xyz
'x,y,z'
'-x,-y,-z'
'-x,y,-z'
'x,-y,z'
'x+1/2,y+1/2,z'
'-x+1/2,-y+1/2,-z'
'-x+1/2,y+1/2,-z'
'x+1/2,-y+1/2,z'
loop_
_atom_site_label
_atom_site_fract_x
_atom_site_fract_y
_atom_site_fract_z
Zn1 0.000 0.000 0.000
Ni1 0.065 0.500 0.246
Pt1 0.105 0.000 0.434
Pt2 0.171 0.500 0.673
Pt3 0.247 0.000 0.900
# formation energy	-2.0	kcal/mol of atoms
# crystal system	monoclinic
# DOS(E_F)	22.597	states/eV per cell
# electronic total energy	-5.538	eV per atom

Entry 3:
# PBE-GGA CsNiOs3, optimized geometry
data_CsNiOs3
_cell_length_a 4.905
_cell_length_b 4.905
_cell_length_c 4.905
_cell_angle_alpha 90.00
_cell_angle_beta 90.00
_cell_angle_gamma 90.00
_space_group_name_H-M_alt 'P m -3 m'
_space_group_IT_number 221
_space_group_name_Hall '-P 4 2 3'
loop_
_atom_site_label
_atom_site_fract_x
_atom_site_fract_y
_atom_site_fract_z
Cs1 0.000 0.000 0.000
Ni1 0.500 0.500 0.500
Os1 0.000 0.000 0.500
# formation energy	97.5	kcal/mol of atoms
# crystal system	cubic
# DOS(E_F)	5.468	states/eV per cell
# electronic total energy	-3.838	eV per atom

Entry 4:
# PBE-GGA SrCd3Bi, optimized geometry
data_SrCd3Bi
_cell_length_a 5.793
_cell_length_b 5.793
_cell_length_c 5.793
_cell_angle_alpha 90.00
_cell_angle_beta 90.00
_cell_angle_gamma 90.00
_space_group_name_H-M_alt 'P m -3 m'
_space_group_IT_number 221
_space_group_name_Hall '-P 4 2 3'
loop_
_atom_site_label
_atom_site_fract_x
_atom_site_fract_y
_atom_site_fract_z
Sr1 0.000 0.000 0.000
Cd1 0.000 0.500 0.500
Bi1 0.500 0.500 0.500
# formation energy	4.3	kcal/mol of atoms
# crystal system	cubic
# DOS(E_F)	4.611	states/eV per cell
# electronic total energy	-1.475	eV per atom

Entry 5:
# PBE-GGA RbYOsO6, optimized geometry
data_RbYOsO6
_cell_length_a 5.6541
_cell_length_b 5.6541
_cell_length_c 6.1396
_cell_angle_alpha 90.00
_cell_angle_beta 90.00
_cell_angle_gamma 120.00
_space_group_name_H-M_alt 'P 3 1 2'
_space_group_IT_number 149
loop_
_space_group_symop_operation_xyz
'x,y,z'
'-y,x-y,z'
'-x+y,-x,z'
'-y,-x,-z'
'-x+y,y,-z'
'x,x-y,-z'
loop_
_atom_site_label
_atom_site_fract_x
_atom_site_fract_y
_atom_site_fract_z
Rb1 0.0000 0.0000 0.0000
Y1 0.6667 0.3333 0.5000
Os1 0.3333 0.6667 0.5000
O1 0.0494 0.4118 0.3224
# crystal system	trigonal
# formation energy from raw total energies	-1.77	eV/atom
# electronic total energy	-7.153	eV per atom

Entry 6:
# PBE-GGA TbY4Tm6, optimized geometry
data_TbY4Tm6
_cell_length_a 7.527
_cell_length_b 7.527
_cell_length_c 13.178
_cell_angle_alpha 90.00
_cell_angle_beta 90.00
_cell_angle_gamma 90.00
_space_group_name_H-M_alt 'I -4 2 m'
_space_group_IT_number 121
_space_group_name_Hall 'I -4 2'
loop_
_atom_site_label
_atom_site_fract_x
_atom_site_fract_y
_atom_site_fract_z
Tb1 0.000 0.000 0.000
Y1 0.170 0.170 0.421
Tm1 0.000 0.500 0.000
Tm2 0.238 0.238 0.181
# formation energy	11.2	kcal/mol of atoms
# crystal system	tetragonal
# DOS(E_F)	31.486	states/eV per cell
# electronic total energy	-4.723	eV per atom

Entry 7:
# PBE-GGA SmDy2SnC, optimized geometry
data_SmDy2SnC
_cell_length_a 4.899
_cell_length_b 4.899
_cell_length_c 5.022
_cell_angle_alpha 90.00
_cell_angle_beta 90.00
_cell_angle_gamma 90.00
_space_group_name_H-M_alt 'P 4/m m m'
_space_group_IT_number 123
_space_group_name_Hall '-P 4 2'
loop_
_atom_site_label
_atom_site_fract_x
_atom_site_fract_y
_atom_site_fract_z
Sm1 0.000 0.000 0.000
Dy1 0.000 0.500 0.500
Sn1 0.500 0.500 0.000
C1 0.000 0.000 0.500
# formation energy	-13.7	kcal/mol of atoms
# crystal system	tetragonal
# DOS(E_F)	2.261	states/eV per cell
# electronic total energy	-6.023	eV per atom

Entry 8:
# PBE-GGA TbSbN2, optimized geometry
data_TbSbN2
_cell_length_a 3.5768
_cell_length_b 3.5768
_cell_length_c 19.3463
_cell_angle_alpha 90.00
_cell_angle_beta 90.00
_cell_angle_gamma 120.00
_space_group_name_H-M_alt 'R -3 m'
_space_group_IT_number 166
_space_group_name_Hall '-R 3 2"'
loop_
_atom_site_label
_atom_site_fract_x
_atom_site_fract_y
_atom_site_fract_z
Tb1 0.0000 0.0000 0.0000
Sb1 0.0000 0.0000 0.5000
N1 0.0000 0.0000 0.3954
# crystal system	trigonal
# formation energy from raw total energies	-0.32	eV/atom
# DOS(E_F)	2.272	states/eV per cell
# electronic total energy	-6.675	eV per atom

Entry 9:
# PBE-GGA Li2AlRe, optimized geometry
data_Li2AlRe
_cell_length_a 2.706
_cell_length_b 4.527
_cell_length_c 8.692
_cell_angle_alpha 90.00
_cell_angle_beta 90.00
_cell_angle_gamma 90.00
_space_group_name_H-M_alt 'I m m 2'
_space_group_IT_number 44
loop_
_space_group_symop_operation_xyz
'x,y,z'
'-x,-y,z'
'-x,y,z'
'x,-y,z'
'x+1/2,y+1/2,z+1/2'
'-x+1/2,-y+1/2,z+1/2'
'-x+1/2,y+1/2,z+1/2'
'x+1/2,-y+1/2,z+1/2'
loop_
_atom_site_label
_atom_site_fract_x
_atom_site_fract_y
_atom_site_fract_z
Li1 0.000 0.000 0.000
Li2 0.000 0.500 0.279
Al1 0.000 0.000 0.533
Re1 0.000 0.500 0.766
# formation energy	4.3	kcal/mol of atoms
# crystal system	orthorhombic
# DOS(E_F)	3.291	states/eV per cell
# electronic total energy	-4.817	eV per atom

Entry 10:
# PBE-GGA HoCo3BP, optimized geometry
data_HoCo3BP
_cell_length_a 5.386
_cell_length_b 10.761
_cell_length_c 5.298
_cell_angle_alpha 90.00
_cell_angle_beta 90.00
_cell_angle_gamma 90.00
_space_group_name_H-M_alt 'C m c m'
_space_group_IT_number 63
_space_group_name_Hall '-C 2c 2'
loop_
_atom_site_label
_atom_site_fract_x
_atom_site_fract_y
_atom_site_fract_z
Ho1 0.000 0.241 0.250
Co1 0.000 0.323 0.750
Co2 0.238 0.000 0.000
B1 0.000 0.498 0.250
P1 0.000 0.126 0.750
# formation energy	-12.1	kcal/mol of atoms
# crystal system	orthorhombic
# DOS(E_F)	16.281	states/eV per cell
# electronic total energy	-6.856	eV per atom

Entry 11:
# PBE-GGA Ca2OsPt, optimized geometry
data_Ca2OsPt
_cell_length_a 11.188
_cell_length_b 2.908
_cell_length_c 5.329
_cell_angle_alpha 90.00
_cell_angle_beta 107.28
_cell_angle_gamma 90.00
_space_group_name_H-M_alt 'C 1 m 1'
_space_group_IT_number 8
loop_
_space_group_symop_operation_xyz
'x,y,z'
'x,-y,z'
'x+1/2,y+1/2,z'
'x+1/2,-y+1/2,z'
loop_
_atom_site_label
_atom_site_fract_x
_atom_site_fract_y
_atom_site_fract_z
Ca1 0.000 0.000 0.000
Ca2 0.194 0.000 0.614
Os1 0.436 0.000 0.470
Pt1 0.255 0.500 0.142
# formation energy	-1.7	kcal/mol of atoms
# crystal system	monoclinic
# DOS(E_F)	4.962	states/eV per cell
# electronic total energy	-5.390	eV per atom

Entry 12:
# PBE-GGA Tl5TeSe4, optimized geometry
data_Tl5TeSe4
_cell_length_a 18.495
_cell_length_b 4.615
_cell_length_c 7.925
_cell_angle_alpha 90.00
_cell_angle_beta 108.83
_cell_angle_gamma 90.00
_space_group_name_H-M_alt 'C 1 2/m 1'
_space_group_IT_number 12
loop_
_space_group_symop_operation_xyz
'x,y,z'
'-x,-y,-z'
'-x,y,-z'
'x,-y,z'
'x+1/2,y+1/2,z'
'-x+1/2,-y+1/2,-z'
'-x+1/2,y+1/2,-z'
'x+1/2,-y+1/2,z'
loop_
_atom_site_label
_atom_site_fract_x
_atom_site_fract_y
_atom_site_fract_z
Tl1 0.000 0.000 0.000
Tl2 0.152 0.500 0.263
Tl3 0.194 0.500 0.805
Te1 0.000 0.000 0.500
Se1 0.025 0.500 0.745
Se2 0.157 0.000 0.527
# crystal system	monoclinic
# formation energy from raw total energies	-0.25	eV/atom
# DOS(E_F)	3.676	states/eV per cell
# electronic total energy	-3.137	eV per atom

Entry 13:
# PBE-GGA Pm4HgAsSe2, optimized geometry
data_Pm4HgAsSe2
_cell_length_a 7.411
_cell_length_b 4.215
_cell_length_c 7.428
_cell_angle_alpha 90.00
_cell_angle_beta 108.97
_cell_angle_gamma 90.00
_space_group_name_H-M_alt 'P 1 2/m 1'
_space_group_IT_number 10
loop_
_space_group_symop_operation_xyz
'x,y,z'
'-x,-y,-z'
'-x,y,-z'
'x,-y,z'
loop_
_atom_site_label
_atom_site_fract_x
_atom_site_fract_y
_atom_site_fract_z
Pm1 0.238 0.000 0.242
Pm2 0.240 0.500 0.748
Hg1 0.500 0.500 0.500
As1 0.000 0.000 0.500
Se1 0.000 0.500 0.000
Se2 0.500 0.000 0.000
# crystal system	monoclinic
# formation energy from raw total energies	-1.40	eV/atom
# DOS(E_F)	5.517	states/eV per cell
# electronic total energy	-5.264	eV per atom

Entry 14:
# PBE-GGA PuCu3Br9, optimized geometry
data_PuCu3Br9
_cell_length_a 18.422
_cell_length_b 9.465
_cell_length_c 13.334
_cell_angle_alpha 90.00
_cell_angle_beta 127.95
_cell_angle_gamma 90.00
_space_group_name_H-M_alt 'C 1 c 1'
_space_group_IT_number 9
loop_
_space_group_symop_operation_xyz
'x,y,z'
'x,-y,z+1/2'
'x+1/2,y+1/2,z'
'x+1/2,-y+1/2,z+1/2'
loop_
_atom_site_label
_atom_site_fract_x
_atom_site_fract_y
_atom_site_fract_z
Pu1 0.000 0.223 0.000
Cu1 0.142 0.126 0.838
Cu2 0.232 0.423 0.723
Cu3 0.353 0.076 0.658
Br1 0.003 0.089 0.815
Br2 0.123 0.359 0.755
Br3 0.126 0.030 0.176
Br4 0.153 0.375 0.071
Br5 0.259 0.280 0.604
Br6 0.300 0.118 0.015
Br7 0.357 0.461 0.423
Br8 0.392 0.050 0.348
Br9 0.489 0.175 0.686
# crystal system	monoclinic
# formation energy from raw total energies	-0.64	eV/atom
# DOS(E_F)	62.891	states/eV per cell
# electronic total energy	-3.846	eV per atom

Entry 15:
# PBE-GGA Ho2TcI, optimized geometry
data_Ho2TcI
_cell_length_a 3.539
_cell_length_b 3.539
_cell_length_c 8.131
_cell_angle_alpha 90.00
_cell_angle_beta 90.00
_cell_angle_gamma 90.00
_space_group_name_H-M_alt 'P 4/m m m'
_space_group_IT_number 123
_space_group_name_Hall '-P 4 2'
loop_
_atom_site_label
_atom_site_fract_x
_atom_site_fract_y
_atom_site_fract_z
Ho1 0.000 0.000 0.196
Tc1 0.500 0.500 0.000
I1 0.500 0.500 0.500
# crystal system	tetragonal
# formation energy from raw total energies	-0.40	eV/atom
# DOS(E_F)	1.950	states/eV per cell
# electronic total energy	-5.669	eV per atom

Entry 16:
# PBE-GGA LaTlIn2, optimized geometry
data_LaTlIn2
_cell_length_a 4.741
_cell_length_b 4.741
_cell_length_c 10.179
_cell_angle_alpha 90.00
_cell_angle_beta 90.00
_cell_angle_gamma 90.00
_space_group_name_H-M_alt 'I 4/m m m'
_space_group_IT_number 139
_space_group_name_Hall '-I 4 2'
loop_
_atom_site_label
_atom_site_fract_x
_atom_site_fract_y
_atom_site_fract_z
La1 0.000 0.000 0.000
Tl1 0.000 0.000 0.500
In1 0.000 0.500 0.250
# formation energy	-7.7	kcal/mol of atoms
# crystal system	tetragonal
# DOS(E_F)	6.204	states/eV per cell
# electronic total energy	-3.529	eV per atom